{"formula": "SbSeIN2", "functional": "PBE-GGA", "state": "optimized geometry", "lattice": [[4.180, 0.000, 0.000], [0.000, 4.180, 0.000], [0.000, 0.000, 5.638]], "species": ["Sb", "Se", "I", "N", "N"], "fractional_positions": [[0.000, 0.000, 0.000], [0.500, 0.500, 0.500], [0.500, 0.500, 0.000], [0.000, 0.500, 0.500], [0.500, 0.000, 0.500]], "n_ef_per_ev_fu": 3.66, "e_form_raw_mev_per_atom": 1835.1, "de_polymorph_mev_per_atom": 582, "space_group": "P4/mmm (123)", "final_energy_ev_per_fu": -16.633}



{"formula": "NbZnNi2H", "functional": "PBE-GGA", "state": "optimized geometry", "lattice": [[3.782, 0.000, 0.000], [0.000, 3.782, 0.000], [0.000, 0.000, 3.977]], "species": ["Nb", "Zn", "Ni", "Ni", "H"], "fractional_positions": [[0.000, 0.000, 0.000], [0.500, 0.500, 0.000], [0.000, 0.500, 0.500], [0.500, 0.000, 0.500], [0.000, 0.000, 0.500]], "n_ef_per_ev_fu": 5.77, "space_group": "P4/mmm (123)", "final_energy_ev_per_fu": -26.322}



{"formula": "SiAg3Pb", "functional": "PBE-GGA", "state": "optimized geometry", "lattice": [[4.869, 0.000, 0.000], [0.000, 4.869, 0.000], [0.000, 0.000, 4.869]], "species": ["Si", "Ag", "Ag", "Ag", "Pb"], "fractional_positions": [[0.000, 0.000, 0.000], [0.000, 0.000, 0.500], [0.000, 0.500, 0.000], [0.500, 0.000, 0.000], [0.500, 0.500, 0.500]], "n_ef_per_ev_fu": 1.66, "e_form_raw_mev_per_atom": 291.6, "de_polymorph_mev_per_atom": 0, "space_group": "Pm-3m (221)", "final_energy_ev_per_fu": -16.227}



{"formula": "Y2H2Ru", "functional": "PBE-GGA", "state": "optimized geometry", "lattice": [[-1.729, 1.729, 6.294], [1.729, -1.729, 6.294], [1.729, 1.729, -6.294]], "species": ["Y", "Y", "H", "H", "Ru"], "fractional_positions": [[0.135, 0.135, 0.000], [0.865, 0.865, 0.000], [0.250, 0.750, 0.500], [0.750, 0.250, 0.500], [0.500, 0.500, 0.000]], "n_ef_per_ev_fu": 0.62, "de_polymorph_mev_per_atom": 0, "space_group": "I4/mmm (139)", "final_energy_ev_per_fu": -31.457}



{"formula": "Nd6Y2TmTh", "functional": "PBE-GGA", "state": "optimized geometry", "lattice": [[4.782, -7.542, 0.000], [4.782, 7.542, 0.000], [-0.960, 0.000, 9.496]], "species": ["Nd", "Nd", "Nd", "Nd", "Nd", "Nd", "Nd", "Nd", "Nd", "Nd", "Nd", "Nd", "Y", "Y", "Y", "Y", "Tm", "Tm", "Th", "Th"], "fractional_positions": [[0.004, 0.573, 0.192], [0.111, 0.766, 0.562], [0.234, 0.889, 0.938], [0.296, 0.522, 0.385], [0.427, 0.996, 0.308], [0.478, 0.704, 0.115], [0.522, 0.296, 0.885], [0.573, 0.004, 0.692], [0.704, 0.478, 0.615], [0.766, 0.111, 0.062], [0.889, 0.234, 0.438], [0.996, 0.427, 0.808], [0.205, 0.295, 0.055], [0.295, 0.205, 0.555], [0.705, 0.795, 0.445], [0.795, 0.705, 0.945], [0.411, 0.589, 0.750], [0.589, 0.411, 0.250], [0.034, 0.966, 0.250], [0.966, 0.034, 0.750]], "n_ef_per_ev_fu": 14.16, "space_group": "C2/c (15)", "final_energy_ev_per_fu": -51.968}



{"formula": "Sb3Pt", "functional": "PBE-GGA", "state": "optimized geometry", "lattice": [[4.553, 0.000, 0.000], [0.000, 4.553, 0.000], [0.000, 0.000, 4.553]], "species": ["Sb", "Sb", "Sb", "Pt"], "fractional_positions": [[0.000, 0.000, 0.500], [0.000, 0.500, 0.000], [0.500, 0.000, 0.000], [0.500, 0.500, 0.500]], "n_ef_per_ev_fu": 3.33, "e_form_raw_mev_per_atom": 247.8, "de_polymorph_mev_per_atom": 450, "space_group": "Pm-3m (221)", "final_energy_ev_per_fu": -17.417}



{"formula": "TmI4", "functional": "PBE-GGA", "state": "optimized geometry", "lattice": [[5.965, 0.000, 0.000], [0.000, 5.965, 0.000], [0.000, 0.000, 5.965]], "species": ["Tm", "I", "I", "I", "I"], "fractional_positions": [[0.000, 0.000, 0.000], [0.000, 0.000, 0.500], [0.000, 0.500, 0.000], [0.500, 0.000, 0.000], [0.500, 0.500, 0.500]], "n_ef_per_ev_fu": 5.86, "e_form_raw_mev_per_atom": -753.2, "space_group": "Pm-3m (221)", "final_energy_ev_per_fu": -14.438}



{"formula": "Be2ZnSe", "functional": "PBE-GGA", "state": "optimized geometry", "lattice": [[-1.635, 2.362, 3.665], [1.635, -2.362, 3.665], [1.635, 2.362, -3.665]], "species": ["Be", "Be", "Zn", "Se"], "fractional_positions": [[0.239, 0.239, 0.000], [0.761, 0.761, 0.000], [0.500, 0.000, 0.500], [0.000, 0.500, 0.500]], "n_ef_per_ev_fu": 1.33, "e_form_raw_mev_per_atom": 497.3, "de_polymorph_mev_per_atom": 415, "space_group": "Immm (71)", "final_energy_ev_per_fu": -10.222}



{"formula": "Li3CoRh", "functional": "PBE-GGA", "state": "optimized geometry", "lattice": [[4.491, 0.000, 0.000], [0.000, 4.491, 0.000], [0.000, 0.000, 4.491]], "species": ["Li", "Li", "Li", "Co", "Rh"], "fractional_positions": [[0.000, 0.000, 0.500], [0.000, 0.500, 0.000], [0.500, 0.000, 0.000], [0.500, 0.500, 0.500], [0.000, 0.000, 0.000]], "n_ef_per_ev_fu": 3.97, "de_polymorph_mev_per_atom": 0, "space_group": "Pm-3m (221)", "final_energy_ev_per_fu": -16.154}



{"formula": "GeAs3S", "functional": "PBE-GGA", "state": "optimized geometry", "lattice": [[4.808, 0.000, 0.000], [0.000, 4.808, 0.000], [0.000, 0.000, 4.808]], "species": ["Ge", "As", "As", "As", "S"], "fractional_positions": [[0.000, 0.000, 0.000], [0.000, 0.500, 0.500], [0.500, 0.000, 0.500], [0.500, 0.500, 0.000], [0.500, 0.500, 0.500]], "n_ef_per_ev_fu": 2.81, "e_form_raw_mev_per_atom": 746.2, "de_polymorph_mev_per_atom": 0, "space_group": "Pm-3m (221)", "final_energy_ev_per_fu": -18.962}



{"formula": "NaScSn2Ge", "functional": "PBE-GGA", "state": "optimized geometry", "lattice": [[5.456, 0.000, 0.000], [0.000, 5.456, 0.000], [0.000, 0.000, 5.565]], "species": ["Na", "Sc", "Sn", "Sn", "Ge"], "fractional_positions": [[0.000, 0.000, 0.000], [0.000, 0.000, 0.500], [0.000, 0.500, 0.500], [0.500, 0.000, 0.500], [0.500, 0.500, 0.000]], "n_ef_per_ev_fu": 3.66, "space_group": "P4/mmm (123)", "final_energy_ev_per_fu": -17.157}



{"formula": "Tm5Ni3", "functional": "PBE-GGA", "state": "optimized geometry", "lattice": [[10.639, 0.000, 0.000], [0.000, 10.639, 0.000], [0.000, 0.000, 6.151]], "species": ["Tm", "Tm", "Tm", "Tm", "Tm", "Tm", "Tm", "Tm", "Tm", "Tm", "Tm", "Tm", "Tm", "Tm", "Tm", "Tm", "Tm", "Tm", "Tm", "Tm", "Ni", "Ni", "Ni", "Ni", "Ni", "Ni", "Ni", "Ni", "Ni", "Ni", "Ni", "Ni"], "fractional_positions": [[0.043, 0.160, 0.121], [0.043, 0.340, 0.621], [0.160, 0.043, 0.621], [0.160, 0.457, 0.121], [0.250, 0.750, 0.000], [0.250, 0.750, 0.500], [0.340, 0.043, 0.121], [0.340, 0.457, 0.621], [0.457, 0.160, 0.621], [0.457, 0.340, 0.121], [0.543, 0.660, 0.879], [0.543, 0.840, 0.379], [0.660, 0.543, 0.379], [0.660, 0.957, 0.879], [0.750, 0.250, 0.000], [0.750, 0.250, 0.500], [0.840, 0.543, 0.879], [0.840, 0.957, 0.379], [0.957, 0.660, 0.379], [0.957, 0.840, 0.879], [0.097, 0.597, 0.750], [0.097, 0.903, 0.250], [0.250, 0.250, 0.376], [0.250, 0.250, 0.876], [0.403, 0.597, 0.250], [0.403, 0.903, 0.750], [0.597, 0.097, 0.250], [0.597, 0.403, 0.750], [0.750, 0.750, 0.124], [0.750, 0.750, 0.624], [0.903, 0.097, 0.750], [0.903, 0.403, 0.250]], "n_ef_per_ev_fu": 8.13, "space_group": "P4/ncc (130)", "final_energy_ev_per_fu": -42.631}



{"formula": "Dy2PbS4", "functional": "PBE-GGA", "state": "optimized geometry", "lattice": [[12.295, 0.000, 0.000], [0.000, 3.986, 0.000], [0.000, 0.000, 14.279]], "species": ["Dy", "Dy", "Dy", "Dy", "Dy", "Dy", "Dy", "Dy", "Pb", "Pb", "Pb", "Pb", "S", "S", "S", "S", "S", "S", "S", "S", "S", "S", "S", "S", "S", "S", "S", "S"], "fractional_positions": [[0.063, 0.250, 0.115], [0.087, 0.250, 0.595], [0.413, 0.750, 0.095], [0.437, 0.750, 0.615], [0.563, 0.250, 0.385], [0.587, 0.250, 0.905], [0.913, 0.750, 0.405], [0.937, 0.750, 0.885], [0.242, 0.750, 0.832], [0.258, 0.250, 0.332], [0.742, 0.750, 0.668], [0.758, 0.250, 0.168], [0.043, 0.750, 0.718], [0.087, 0.250, 0.926], [0.124, 0.750, 0.466], [0.203, 0.750, 0.171], [0.297, 0.250, 0.671], [0.376, 0.250, 0.966], [0.413, 0.750, 0.426], [0.457, 0.250, 0.218], [0.543, 0.750, 0.782], [0.587, 0.250, 0.574], [0.624, 0.750, 0.034], [0.703, 0.750, 0.329], [0.797, 0.250, 0.829], [0.876, 0.250, 0.534], [0.913, 0.750, 0.074], [0.957, 0.250, 0.282]], "n_ef_per_ev_fu": 0.00, "e_form_raw_mev_per_atom": -1634.5, "de_polymorph_mev_per_atom": 0, "space_group": "Pnma (62)", "final_energy_ev_per_fu": -40.864}



{"formula": "Ce2ZnCl", "functional": "PBE-GGA", "state": "optimized geometry", "lattice": [[2.131, 1.230, 6.506], [-2.131, 1.230, 6.506], [0.000, -2.460, 6.506]], "species": ["Ce", "Ce", "Zn", "Cl"], "fractional_positions": [[0.243, 0.243, 0.243], [0.757, 0.757, 0.757], [0.000, 0.000, 0.000], [0.500, 0.500, 0.500]], "n_ef_per_ev_fu": 12.87, "e_form_raw_mev_per_atom": -686.3, "de_polymorph_mev_per_atom": 0, "space_group": "R-3m (166)", "final_energy_ev_per_fu": -17.733}



{"formula": "Sr3Au", "functional": "PBE-GGA", "state": "optimized geometry", "lattice": [[0.000, 4.197, 4.197], [4.197, 0.000, 4.197], [4.197, 4.197, 0.000]], "species": ["Sr", "Sr", "Sr", "Au"], "fractional_positions": [[0.000, 0.000, 0.000], [0.250, 0.250, 0.250], [0.750, 0.750, 0.750], [0.500, 0.500, 0.500]], "n_ef_per_ev_fu": 5.82, "space_group": "Fm-3m (225)", "final_energy_ev_per_fu": -8.579}



{"formula": "HoZn2Ge2", "functional": "PBE-GGA", "state": "optimized geometry", "lattice": [[2.001, -11.332, 0.000], [2.001, 11.332, 0.000], [0.000, 0.000, 4.050]], "species": ["Ho", "Ho", "Zn", "Zn", "Zn", "Zn", "Ge", "Ge", "Ge", "Ge"], "fractional_positions": [[0.149, 0.851, 0.750], [0.851, 0.149, 0.250], [0.039, 0.961, 0.250], [0.459, 0.541, 0.250], [0.541, 0.459, 0.750], [0.961, 0.039, 0.750], [0.249, 0.751, 0.250], [0.382, 0.618, 0.750], [0.618, 0.382, 0.250], [0.751, 0.249, 0.750]], "n_ef_per_ev_fu": 1.55, "space_group": "Cmcm (63)", "final_energy_ev_per_fu": -18.237}



{"formula": "VZnCd3", "functional": "PBE-GGA", "state": "optimized geometry", "lattice": [[5.419, 0.000, 0.000], [0.000, 5.419, 0.000], [0.000, 0.000, 5.419]], "species": ["V", "Zn", "Cd", "Cd", "Cd"], "fractional_positions": [[0.000, 0.000, 0.000], [0.500, 0.500, 0.500], [0.000, 0.000, 0.500], [0.000, 0.500, 0.000], [0.500, 0.000, 0.000]], "n_ef_per_ev_fu": 2.94, "de_polymorph_mev_per_atom": 61, "space_group": "Pm-3m (221)", "final_energy_ev_per_fu": -9.119}



{"formula": "SrNiSb2", "functional": "PBE-GGA", "state": "optimized geometry", "lattice": [[3.507, 0.000, 0.000], [0.000, 3.507, 0.000], [0.000, 0.000, 7.852]], "species": ["Sr", "Ni", "Sb", "Sb"], "fractional_positions": [[0.000, 0.000, 0.000], [0.000, 0.000, 0.500], [0.500, 0.500, 0.309], [0.500, 0.500, 0.691]], "n_ef_per_ev_fu": 3.27, "e_form_raw_mev_per_atom": -132.9, "space_group": "P4/mmm (123)", "final_energy_ev_per_fu": -16.239}



{"formula": "Sr2YAu", "functional": "PBE-GGA", "state": "optimized geometry", "lattice": [[-5.251, 5.251, 2.953], [5.251, -5.251, 2.953], [5.251, 5.251, -2.953]], "species": ["Sr", "Sr", "Sr", "Sr", "Y", "Y", "Au", "Au"], "fractional_positions": [[0.012, 0.625, 0.887], [0.375, 0.262, 0.387], [0.738, 0.125, 0.113], [0.875, 0.988, 0.613], [0.250, 0.750, 0.500], [0.500, 0.500, 0.000], [0.000, 0.000, 0.000], [0.750, 0.250, 0.500]], "n_ef_per_ev_fu": 5.40, "de_polymorph_mev_per_atom": 267, "space_group": "I-42d (122)", "final_energy_ev_per_fu": -13.475}



{"formula": "LiAg2Os", "functional": "PBE-GGA", "state": "optimized geometry", "lattice": [[4.861, 0.000, 0.000], [0.000, 4.861, 0.000], [0.000, 0.000, 2.700]], "species": ["Li", "Ag", "Ag", "Os"], "fractional_positions": [[0.000, 0.000, 0.000], [0.000, 0.500, 0.500], [0.500, 0.000, 0.500], [0.500, 0.500, 0.000]], "n_ef_per_ev_fu": 3.11, "de_polymorph_mev_per_atom": 70, "space_group": "P4/mmm (123)", "final_energy_ev_per_fu": -17.450}



{"formula": "Tb15Dy2Er2", "functional": "PBE-GGA", "state": "optimized geometry", "lattice": [[5.542, 3.200, 5.892], [-5.542, 3.200, 5.892], [0.000, -6.399, 5.892]], "species": ["Tb", "Tb", "Tb", "Tb", "Tb", "Tb", "Tb", "Tb", "Tb", "Tb", "Tb", "Tb", "Tb", "Tb", "Tb", "Dy", "Dy", "Er", "Er"], "fractional_positions": [[0.000, 0.000, 0.500], [0.000, 0.298, 0.702], [0.000, 0.500, 0.000], [0.000, 0.702, 0.298], [0.150, 0.626, 0.626], [0.298, 0.000, 0.702], [0.298, 0.702, 0.000], [0.374, 0.374, 0.850], [0.374, 0.850, 0.374], [0.500, 0.000, 0.000], [0.626, 0.150, 0.626], [0.626, 0.626, 0.150], [0.702, 0.000, 0.298], [0.702, 0.298, 0.000], [0.850, 0.374, 0.374], [0.320, 0.320, 0.320], [0.680, 0.680, 0.680], [0.095, 0.095, 0.095], [0.905, 0.905, 0.905]], "n_ef_per_ev_fu": 32.10, "space_group": "R-3m (166)", "final_energy_ev_per_fu": -82.344}



{"formula": "CrC2", "functional": "PBE-GGA", "state": "optimized geometry", "lattice": [[-1.614, 1.614, 2.697], [1.614, -1.614, 2.697], [1.614, 1.614, -2.697]], "species": ["Cr", "C", "C"], "fractional_positions": [[0.000, 0.000, 0.000], [0.378, 0.378, 0.000], [0.622, 0.622, 0.000]], "n_ef_per_ev_fu": 1.17, "de_polymorph_mev_per_atom": 384, "space_group": "I4/mmm (139)", "final_energy_ev_per_fu": -25.434}



{"formula": "NdDy5Y6", "functional": "PBE-GGA", "state": "optimized geometry", "lattice": [[5.923, -5.354, 0.000], [5.923, 5.354, 0.000], [-1.084, 0.000, 6.078]], "species": ["Nd", "Dy", "Dy", "Dy", "Dy", "Dy", "Y", "Y", "Y", "Y", "Y", "Y"], "fractional_positions": [[0.000, 0.000, 0.000], [0.168, 0.832, 0.500], [0.334, 0.666, 0.000], [0.500, 0.500, 0.500], [0.666, 0.334, 0.000], [0.832, 0.168, 0.500], [0.083, 0.417, 0.250], [0.251, 0.251, 0.749], [0.417, 0.083, 0.250], [0.583, 0.917, 0.750], [0.749, 0.749, 0.251], [0.917, 0.583, 0.750]], "n_ef_per_ev_fu": 18.14, "de_polymorph_mev_per_atom": 2, "space_group": "C2/m (12)", "final_energy_ev_per_fu": -66.301}



{"formula": "TeCF2", "functional": "PBE-GGA", "state": "optimized geometry", "lattice": [[0.000, 4.090, 4.090], [4.090, 0.000, 4.090], [4.090, 4.090, 0.000]], "species": ["Te", "Te", "C", "C", "F", "F", "F", "F"], "fractional_positions": [[0.125, 0.125, 0.125], [0.875, 0.875, 0.875], [0.375, 0.375, 0.375], [0.625, 0.625, 0.625], [0.000, 0.500, 0.500], [0.500, 0.000, 0.500], [0.500, 0.500, 0.000], [0.500, 0.500, 0.500]], "n_ef_per_ev_fu": 2.34, "e_form_raw_mev_per_atom": 653.5, "de_polymorph_mev_per_atom": 49, "space_group": "Fd-3m (227)", "final_energy_ev_per_fu": -13.494}